Tb7Tm2Th2 | GGA-PBE | optimized geometry

Results
SG = C2/m, No. 12
Mass density = 8.89 g/cm³
Offset from the most stable computed form = 11.6 meV/atom

abc: 8.066 8.066 5.988
angles: 106.11 106.11 91.15
Sites, in units of the cell vectors:
Tb (0.000, 0.000, 0.000)
Tb (0.057, 0.591, 0.829)
Tb (0.409, 0.943, 0.171)
Tb (0.413, 0.413, 0.195)
Tb (0.587, 0.587, 0.805)
Tb (0.591, 0.057, 0.829)
Tb (0.943, 0.409, 0.171)
Tm (0.234, 0.234, 0.587)
Tm (0.766, 0.766, 0.413)
Th (0.211, 0.789, 0.500)
Th (0.789, 0.211, 0.500)